Record 1
Li3Nd2S4: relaxed, PBE. Values from VASP.

Geometry as Quantum ESPRESSO input:
```
&SYSTEM
  ibrav = 0, nat = 9, ntyp = 3
/
ATOMIC_SPECIES
Li 6.94 Li.upf
Nd 144.24 Nd.upf
S 32.06 S.upf
CELL_PARAMETERS angstrom
3.463 -1.995 0.000
3.463 1.995 0.000
-0.201 0.000 14.024
ATOMIC_POSITIONS angstrom
Li 0.000 0.000 0.000
Li 2.301 0.000 5.629
Li 4.424 0.000 8.394
Nd 2.106 0.000 10.945
Nd 4.619 0.000 3.078
S -0.001 0.000 4.923
S 2.311 0.000 1.481
S 4.414 0.000 12.543
S 6.726 0.000 9.101
```

Computed properties:
formation energy without anion corrections	-1587	meV per atom
calculated density	3749	kg/m³
space group	C2/m, No. 12
volume	21.5	A^3/atom
DFT total energy	-5.118	eV/atom

=====

Record 2
LiNd4S7: relaxed, PBE. Values from VASP.

Geometry as Quantum ESPRESSO input:
```
&SYSTEM
  ibrav = 0, nat = 12, ntyp = 3
/
ATOMIC_SPECIES
Li 6.94 Li.upf
Nd 144.24 Nd.upf
S 32.06 S.upf
CELL_PARAMETERS angstrom
6.721 -2.009 0.000
6.721 2.009 0.000
-4.382 0.000 10.868
ATOMIC_POSITIONS angstrom
Li 0.000 0.000 0.000
Nd -0.018 0.000 8.277
Nd 6.585 0.000 3.494
Nd 10.096 0.000 1.208
Nd 9.801 0.000 6.109
S 1.448 0.000 1.981
S 1.188 0.000 5.396
S 5.256 0.000 0.671
S 5.080 0.000 6.705
S 4.991 0.000 9.428
S 8.628 0.000 8.525
S 11.353 0.000 3.712
```

Computed properties:
formation energy without anion corrections	-1771	meV per atom
calculated density	4574	kg/m³
space group	Cm, No. 8
volume	24.5	A^3/atom
DFT total energy	-5.928	eV/atom

=====

Record 3
LiNdS2: relaxed, PBE. Values from VASP.

Geometry as Quantum ESPRESSO input:
```
&SYSTEM
  ibrav = 0, nat = 8, ntyp = 3
/
ATOMIC_SPECIES
Li 6.94 Li.upf
Nd 144.24 Nd.upf
S 32.06 S.upf
CELL_PARAMETERS angstrom
4.103 0.000 0.000
0.000 4.103 0.000
0.000 0.000 11.309
ATOMIC_POSITIONS angstrom
Li 1.026 3.077 0.000
Li 3.077 1.026 0.000
Nd 1.026 1.026 3.883
Nd 3.077 3.077 7.426
S 1.026 1.026 1.294
S 1.026 1.026 6.965
S 3.077 3.077 4.344
S 3.077 3.077 10.014
```

Computed properties:
formation energy without anion corrections	-1673	meV per atom
calculated density	3757	kg/m³
space group	P4/nmm, No. 129
volume	23.8	A^3/atom
DFT total energy	-5.407	eV/atom

=====

Record 4
LiNd3S4: relaxed, PBE. Values from VASP.

Geometry as Quantum ESPRESSO input:
```
&SYSTEM
  ibrav = 0, nat = 8, ntyp = 3
/
ATOMIC_SPECIES
Li 6.94 Li.upf
Nd 144.24 Nd.upf
S 32.06 S.upf
CELL_PARAMETERS angstrom
4.023 -5.692 0.000
4.023 5.692 0.000
0.000 0.000 4.035
ATOMIC_POSITIONS angstrom
Li 0.000 0.000 0.000
Nd 2.011 2.846 2.017
Nd 2.011 -2.846 2.017
Nd 4.023 0.000 0.000
S 1.952 0.000 2.017
S 4.023 2.913 0.000
S 4.023 -2.913 0.000
S 6.094 0.000 2.017
```

Computed properties:
formation energy without anion corrections	-1912	meV per atom
calculated density	5104	kg/m³
space group	Cmmm, No. 65
E above lowest polymorph	0.026	eV per atom
volume	23.1	A^3/atom
DFT total energy	-6.003	eV/atom

=====

Record 5
LiNd5S8: relaxed, PBE. Values from VASP.

Geometry as Quantum ESPRESSO input:
```
&SYSTEM
  ibrav = 0, nat = 14, ntyp = 3
/
ATOMIC_SPECIES
Li 6.94 Li.upf
Nd 144.24 Nd.upf
S 32.06 S.upf
CELL_PARAMETERS angstrom
-4.264 4.264 4.309
4.264 -4.264 4.309
4.264 4.264 -4.309
ATOMIC_POSITIONS angstrom
Li 0.000 0.000 0.000
Nd 3.157 2.111 -1.112
Nd 4.264 0.000 2.154
Nd 2.153 -1.106 5.420
Nd 1.106 2.153 3.197
Nd 2.111 5.370 1.112
S 5.803 0.610 -0.405
S 1.536 -0.646 2.684
S 0.610 2.724 0.405
S 2.727 4.910 -1.625
S 3.618 2.727 1.625
S 3.653 1.539 4.714
S 0.646 1.536 5.934
S -1.539 3.653 3.903
```

Computed properties:
formation energy without anion corrections	-1979	meV per atom
calculated density	5219	kg/m³
space group	I-4, No. 82
volume	22.4	A^3/atom
DFT total energy	-6.177	eV/atom

=====

Record 6
LiNd3S4: relaxed, PBE. Values from VASP.

Geometry as Quantum ESPRESSO input:
```
&SYSTEM
  ibrav = 0, nat = 8, ntyp = 3
/
ATOMIC_SPECIES
Li 6.94 Li.upf
Nd 144.24 Nd.upf
S 32.06 S.upf
CELL_PARAMETERS angstrom
5.704 0.000 0.000
0.000 5.704 0.000
0.000 0.000 5.704
ATOMIC_POSITIONS angstrom
Li 0.000 0.000 0.000
Nd 0.000 2.852 2.852
Nd 2.852 0.000 2.852
Nd 2.852 2.852 0.000
S 0.000 0.000 2.852
S 0.000 2.852 0.000
S 2.852 0.000 0.000
S 2.852 2.852 2.852
```

Computed properties:
formation energy without anion corrections	-1937	meV per atom
calculated density	5083	kg/m³
space group	Pm-3m, No. 221
E above lowest polymorph	0.000	eV per atom
volume	23.2	A^3/atom
DFT total energy	-6.028	eV/atom

=====

Record 7
LiNd2S: relaxed, PBE. Values from VASP.

Geometry as Quantum ESPRESSO input:
```
&SYSTEM
  ibrav = 0, nat = 4, ntyp = 3
/
ATOMIC_SPECIES
Li 6.94 Li.upf
Nd 144.24 Nd.upf
S 32.06 S.upf
CELL_PARAMETERS angstrom
1.917 1.107 10.105
-1.917 1.107 10.105
0.000 -2.213 10.105
ATOMIC_POSITIONS angstrom
Li 0.000 0.000 0.000
Nd 0.000 0.000 3.375
Nd 0.000 0.000 26.940
S 0.000 0.000 15.157
```

Computed properties:
formation energy without anion corrections	-703	meV per atom
calculated density	4228	kg/m³
space group	R-3m, No. 166
E above lowest polymorph	0.128	eV per atom
volume	32.2	A^3/atom
DFT total energy	-4.597	eV/atom

=====

Record 8
LiNdS2: relaxed, PBE. Values from VASP.

Geometry as Quantum ESPRESSO input:
```
&SYSTEM
  ibrav = 0, nat = 4, ntyp = 3
/
ATOMIC_SPECIES
Li 6.94 Li.upf
Nd 144.24 Nd.upf
S 32.06 S.upf
CELL_PARAMETERS angstrom
2.016 1.164 6.714
-2.016 1.164 6.714
0.000 -2.328 6.714
ATOMIC_POSITIONS angstrom
Li 0.000 0.000 0.000
Nd 0.000 0.000 3.684
S 0.000 0.000 12.085
S 0.000 0.000 15.555
```

Computed properties:
formation energy without anion corrections	-1708	meV per atom
calculated density	3783	kg/m³
space group	R3m, No. 160
volume	23.6	A^3/atom
DFT total energy	-5.442	eV/atom